Density functional theory data (PBE with a Hubbard U) for a geometry-optimized ScCd2MoO6 structure.

E in hartree per atom: -0.23425
Calculated volume in Å³ per atom: 12.35

Cell lengths 5.521, 5.593, 9.696 Å; angles 90.00, 124.43, 90.00 degrees
Sites, in units of the cell vectors:
1 Sc 0.000 0.000 0.000
2 Sc 0.000 0.500 0.500
3 Cd 0.243 0.041 0.747
4 Cd 0.243 0.459 0.247
5 Cd 0.757 0.541 0.753
6 Cd 0.757 0.959 0.253
7 Mo 0.500 0.000 0.500
8 Mo 0.500 0.500 0.000
9 O 0.141 0.190 0.445
10 O 0.141 0.310 0.945
11 O 0.272 0.707 0.448
12 O 0.272 0.793 0.948
13 O 0.355 0.046 0.255
14 O 0.355 0.454 0.755
15 O 0.645 0.546 0.245
16 O 0.645 0.954 0.745
17 O 0.728 0.207 0.052
18 O 0.728 0.293 0.552
19 O 0.859 0.690 0.055
20 O 0.859 0.810 0.555